Nd2Ho5ThSc | GGA-PBE | optimized geometry

```
18
Lattice="2.795 -11.272 0.000 2.795 11.272 0.000 0.000 0.000 9.215" Properties=species:S:1:pos:R:3 pbc="T T T"
Nd 2.795 8.667 4.608
Nd 2.795 8.148 8.622
Nd 2.795 -8.148 4.015
Nd 2.795 -8.667 0.000
Ho 2.795 11.230 2.075
Ho 2.795 5.263 5.171
Ho 2.795 4.574 8.617
Ho 2.795 2.561 2.396
Ho 2.795 0.475 8.949
Ho 2.795 -0.475 4.342
Ho 2.795 -2.561 7.004
Ho 2.795 -4.574 4.009
Ho 2.795 -5.263 0.563
Ho 2.795 -11.230 6.683
Th 2.795 2.296 6.179
Th 2.795 -2.296 1.572
Sc 2.795 6.422 2.172
Sc 2.795 -6.422 6.780
```

Properties
symmetry	No. 36
calculated volume	580.6	Å³/cell
calculated total energy	-44.64	eV/f.u.

GaAgOs2W | GGA-PBE | optimized geometry

```
5
Lattice="4.525 0.000 0.000 0.000 4.525 0.000 0.000 0.000 4.428" Properties=species:S:1:pos:R:3 pbc="T T T"
Ga 0.000 0.000 0.000
Ag 0.000 0.000 2.214
Os 0.000 2.262 0.000
Os 2.262 0.000 0.000
W 2.262 2.262 2.214
```

Properties
symmetry	No. 123
calculated volume	90.7	Å³/cell
calculated total energy	-31.84	eV/f.u.

Sc2TlCl | GGA-PBE | optimized geometry

```
4
Lattice="1.662 0.960 10.052 -1.662 0.960 10.052 0.000 -1.919 10.052" Properties=species:S:1:pos:R:3 pbc="T T T"
Sc 0.000 0.000 2.996
Sc 0.000 0.000 27.160
Tl 0.000 0.000 0.000
Cl 0.000 0.000 15.078
```

Properties
energy relative to the lowest polymorph listed for this composition	280	meV per atom
symmetry	No. 166
calculated volume	96.2	Å³/cell
calculated total energy	-18.51	eV/f.u.
E_form (uncorrected)	-410	meV/atom

RbSb2Te2 | GGA-PBE | optimized geometry

```
5
Lattice="-2.325 2.325 8.082 2.325 -2.325 8.082 2.325 2.325 -8.082" Properties=species:S:1:pos:R:3 pbc="T T T"
Rb 0.000 0.000 0.000
Sb 2.325 0.000 4.041
Sb 0.000 2.325 4.041
Te 0.000 0.000 6.584
Te 0.000 0.000 9.580
```

Properties
energy relative to the lowest polymorph listed for this composition	102	meV per atom
symmetry	No. 139
calculated volume	174.8	Å³/cell
calculated total energy	-16.12	eV/f.u.
E_form (uncorrected)	-125	meV/atom

Pr3Mg4Ag2 | GGA-PBE | optimized geometry

```
9
Lattice="5.555 -2.586 0.000 5.555 2.586 0.000 -5.291 0.000 8.016" Properties=species:S:1:pos:R:3 pbc="T T T"
Pr 0.000 0.000 0.000
Pr 2.038 0.000 2.633
Pr 3.782 0.000 5.383
Mg -1.274 0.000 3.210
Mg -1.811 0.000 7.593
Mg 7.631 0.000 0.423
Mg 7.094 0.000 4.806
Ag 0.471 0.000 5.771
Ag 5.349 0.000 2.245
```

Properties
symmetry	No. 12
calculated volume	230.4	Å³/cell
calculated total energy	-27.98	eV/f.u.

Hf4HPb2 | GGA-PBE | optimized geometry

```
7
Lattice="2.258 -7.123 0.000 2.258 7.123 0.000 0.000 0.000 4.243" Properties=species:S:1:pos:R:3 pbc="T T T"
Hf 0.000 0.000 0.000
Hf 2.258 4.703 2.121
Hf 2.258 0.000 2.121
Hf 2.258 -4.703 2.121
H 0.000 0.000 2.121
Pb 2.258 2.222 0.000
Pb 2.258 -2.222 0.000
```

Properties
energy relative to the lowest polymorph listed for this composition	0	meV per atom
symmetry	No. 65
calculated volume	136.4	Å³/cell
calculated total energy	-51.28	eV/f.u.

LiCePrSc | GGA-PBE | optimized geometry

```
4
Lattice="0.000 3.830 3.830 3.830 0.000 3.830 3.830 3.830 0.000" Properties=species:S:1:pos:R:3 pbc="T T T"
Li 0.000 0.000 0.000
Ce 1.915 1.915 1.915
Pr 5.745 5.745 5.745
Sc 3.830 3.830 3.830
```

Properties
symmetry	No. 216
calculated volume	112.3	Å³/cell
calculated total energy	-18.11	eV/f.u.

PrZn4CuPt2 | GGA-PBE | optimized geometry

```
8
Lattice="2.158 1.246 8.606 -2.158 1.246 8.606 0.000 -2.492 8.606" Properties=species:S:1:pos:R:3 pbc="T T T"
Pr 0.000 0.000 0.000
Zn 0.000 0.000 3.409
Zn 0.000 0.000 10.410
Zn 0.000 0.000 15.407
Zn 0.000 0.000 22.408
Cu 0.000 0.000 12.908
Pt 0.000 0.000 6.065
Pt 0.000 0.000 19.752
```

Properties
symmetry	No. 166
calculated volume	138.8	Å³/cell
calculated total energy	-29.66	eV/f.u.

Pu2Ga3SiPt4 | GGA-PBE | optimized geometry

```
10
Lattice="4.214 0.000 0.000 0.000 4.214 0.000 0.000 0.000 10.513" Properties=species:S:1:pos:R:3 pbc="T T T"
Pu 0.000 2.107 2.552
Pu 2.107 0.000 7.961
Ga 0.000 0.000 0.000
Ga 0.000 2.107 6.701
Ga 2.107 0.000 3.812
Si 2.107 2.107 0.000
Pt 0.000 0.000 5.256
Pt 0.000 2.107 9.188
Pt 2.107 0.000 1.325
Pt 2.107 2.107 5.256
```

Properties
symmetry	No. 115
calculated volume	186.7	Å³/cell
calculated total energy	-75.04	eV/f.u.
E_form (uncorrected)	-771	meV/atom

KSi | GGA-PBE | optimized geometry

```
2
Lattice="3.289 0.000 0.000 -1.645 2.849 0.000 0.000 0.000 5.663" Properties=species:S:1:pos:R:3 pbc="T T T"
K 0.000 0.000 0.000
Si 1.645 0.950 2.832
```

Properties
energy relative to the lowest polymorph listed for this composition	820	meV per atom
symmetry	No. 187
calculated volume	53.1	Å³/cell
calculated total energy	-5.03	eV/f.u.
E_form (uncorrected)	747	meV/atom

Tm2In3Sn2 | GGA-PBE | optimized geometry

```
7
Lattice="5.776 -2.214 0.000 5.776 2.214 0.000 -1.507 0.000 7.148" Properties=species:S:1:pos:R:3 pbc="T T T"
Tm 0.893 0.000 3.027
Tm 9.152 0.000 4.121
In 0.000 0.000 0.000
In 2.186 0.000 6.131
In 7.859 0.000 1.017
Sn 4.297 0.000 2.092
Sn 5.748 0.000 5.056
```

Properties
symmetry	No. 12
calculated volume	182.8	Å³/cell
calculated total energy	-27.38	eV/f.u.